1.
{"formula": "Dy4TlOs", "functional": "PBE-GGA", "state": "relaxed", "cell": [[6.115, -0.733, 0.000], [-2.498, 8.723, 0.000], [-1.809, -3.995, 6.551]], "species": ["Tl", "Tl", "Dy", "Dy", "Dy", "Dy", "Dy", "Dy", "Dy", "Dy", "Os", "Os"], "frac_coords": [[0.375, 0.625, 0.250], [0.625, 0.375, 0.750], [0.608, 0.060, 0.337], [0.228, 0.277, 0.337], [0.772, 0.723, 0.663], [0.392, 0.940, 0.663], [0.909, 0.799, 0.149], [0.260, 0.650, 0.851], [0.740, 0.350, 0.149], [0.091, 0.201, 0.851], [0.750, 0.000, 0.001], [0.250, 0.000, 0.999]], "spacegroup": "C2/c (15)"}

---

2.
{"formula": "Dy6TlOs2", "functional": "PBE-GGA", "state": "relaxed", "cell": [[8.517, -0.032, -0.171], [-3.257, 7.870, 0.171], [-2.964, -3.695, 7.081]], "species": ["Dy", "Dy", "Dy", "Dy", "Dy", "Dy", "Dy", "Dy", "Dy", "Dy", "Dy", "Dy", "Tl", "Tl", "Os", "Os", "Os", "Os"], "frac_coords": [[0.466, 0.281, 0.185], [0.312, 0.643, 0.331], [0.790, 0.241, 0.031], [0.688, 0.019, 0.331], [0.312, 0.981, 0.669], [0.534, 0.719, 0.815], [0.790, 0.759, 0.549], [0.210, 0.241, 0.451], [0.688, 0.357, 0.669], [0.210, 0.759, 0.969], [0.097, 0.281, 0.815], [0.903, 0.719, 0.185], [0.000, 0.000, 0.000], [0.000, 0.500, 0.500], [0.500, 0.620, 0.120], [0.500, 0.380, 0.880], [0.665, 0.000, 0.665], [0.335, 0.000, 0.335]], "spacegroup": "Immm (71)"}

---

3.
{"formula": "DyYTlOs", "functional": "PBE-GGA", "state": "relaxed", "cell": [[-0.605, -3.163, 3.916], [0.514, -4.998, -0.676], [4.007, -2.422, 1.944]], "species": ["Dy", "Tl", "Y", "Os"], "frac_coords": [[0.500, 0.500, 0.500], [0.750, 0.750, 0.750], [0.000, 0.000, 0.000], [0.250, 0.250, 0.250]], "spacegroup": "F-43m (216)"}

---

4.
{"formula": "Dy4TmOs2", "functional": "PBE-GGA", "state": "relaxed", "cell": [[6.256, 0.000, 0.000], [0.000, 7.287, -2.958], [0.000, -0.013, 7.821]], "species": ["Os", "Os", "Os", "Os", "Dy", "Dy", "Dy", "Dy", "Dy", "Dy", "Dy", "Dy", "Tm", "Tm"], "frac_coords": [[0.250, 0.623, 0.587], [0.750, 0.377, 0.413], [0.750, 0.748, 0.024], [0.250, 0.252, 0.976], [0.250, 0.979, 0.621], [0.002, 0.581, 0.238], [0.750, 0.753, 0.675], [0.750, 0.021, 0.379], [0.498, 0.581, 0.238], [0.502, 0.419, 0.762], [0.998, 0.419, 0.762], [0.250, 0.247, 0.325], [0.750, 0.159, 0.030], [0.250, 0.841, 0.970]], "spacegroup": "P2_1/m (11)"}

---

Number 1: DFT total energy -5.65 eV/atom, density 10.28 g cm⁻³. Number 2: DFT total energy -6.11 eV/atom, density 10.95 g cm⁻³. Number 3: DFT total energy -6.32 eV/atom, density 11.64 g cm⁻³. Number 4: DFT total energy -6.65 eV/atom, density 11.18 g cm⁻³.